Ho2ThSc6 after structural relaxation. Source: Alexandria, functional PBE-GGA.

Output
The energy relative to the elements is 4 kJ/mol of atoms. The space-group type is P6/mmm, No. 191. As for the energy above the most stable polymorph in this dataset: 0.00 eV/f.u. The value obtained for the density is 5.751 g/cm³. The volume is 240.12 Å³/f.u.

```
Ho2ThSc6
1.0
3.2713 -0.2591 -0.2078
0.7995 9.0447 1.3684
0.7995 3.2984 8.5322
Ho Sc Th
2 6 1
Direct
0.0001 0.3334 0.3334
0.0001 0.6666 0.6666
0.4991 0.3335 0.9999
0.5009 0.6666 0.0001
0.5000 0.6666 0.3334
0.5000 0.3334 0.6666
0.4991 0.9999 0.3335
0.5009 0.0001 0.6666
0.9998 0.0000 0.0000
```